(1)
DFT (PBE-GGA) results for a relaxed structure of NpPaNiRh.

The structure in POSCAR format:
```
NpPaNiRh
1.0
6.500 0.000 0.000
0.000 6.500 0.000
0.000 0.000 6.500
Np Pa Ni Rh
4 4 4 4
Cartesian
0.000 0.000 0.000 Np
0.000 3.250 3.250 Np
3.250 0.000 3.250 Np
3.250 3.250 0.000 Np
1.625 1.625 1.625 Pa
1.625 4.875 4.875 Pa
4.875 1.625 4.875 Pa
4.875 4.875 1.625 Pa
1.625 1.625 4.875 Ni
1.625 4.875 1.625 Ni
4.875 1.625 1.625 Ni
4.875 4.875 4.875 Ni
0.000 0.000 3.250 Rh
0.000 3.250 0.000 Rh
3.250 0.000 0.000 Rh
3.250 3.250 3.250 Rh
```

As for the total energy: -9.32 eV/atom. The density of states at the Fermi level comes out at 28.2 states/eV/cell. As for the space-group type: F-43m, No. 216.



(2)
DFT (PBE-GGA) results for a relaxed structure of NpPaNiRu.

The structure in POSCAR format:
```
NpPaNiRu
1.0
6.471 0.000 0.000
0.000 6.471 0.000
0.000 0.000 6.471
Np Pa Ni Ru
4 4 4 4
Cartesian
0.000 0.000 0.000 Np
0.000 3.236 3.236 Np
3.236 0.000 3.236 Np
3.236 3.236 0.000 Np
1.618 1.618 1.618 Pa
1.618 4.854 4.854 Pa
4.854 1.618 4.854 Pa
4.854 4.854 1.618 Pa
1.618 1.618 4.854 Ni
1.618 4.854 1.618 Ni
4.854 1.618 1.618 Ni
4.854 4.854 4.854 Ni
0.000 0.000 3.236 Ru
0.000 3.236 0.000 Ru
3.236 0.000 0.000 Ru
3.236 3.236 3.236 Ru
```

As for the total energy: -9.63 eV/atom. The density of states at the Fermi level comes out at 28.3 states/eV/cell. As for the space-group type: F-43m, No. 216.